Computed, not measured: LaAuSe3 at its PBEsol-relaxed geometry at the SCAN level of DFT.

**Uncorrected energy**: -176.7 eV for the cell shown
**Raw formation energy**: -0.848 eV/atom
**Total moment**: 0.00 μB/f.u.

Cell lengths 4.999, 4.999, 4.999 Å; angles 90.00, 90.00, 90.00 degrees
Sites, in units of the cell vectors:
La 0.500 0.500 0.500
Se 0.500 0.000 0.000
Se 0.000 0.500 0.000
Se 0.000 0.000 0.500
Au 0.000 0.000 0.000

Computed, not measured: YSbPb2O6 at its PBEsol-relaxed geometry at the SCAN level of DFT.

**Polymorph energy (0 for the lowest one)**: 0 meV per atom
**Uncorrected energy**: -549.1 eV for the cell shown
**Raw formation energy**: -2.052 eV/atom
**Total moment**: 0.00 μB/f.u.

Cell lengths 5.830, 5.863, 10.161 Å; angles 105.99, 90.00, 119.81 degrees
Sites, in units of the cell vectors:
Pb 0.353 0.265 0.126
Pb 0.912 0.265 0.626
Pb 0.088 0.735 0.374
Pb 0.647 0.735 0.874
O 0.894 0.195 0.083
O 0.639 0.312 0.883
O 0.673 0.312 0.383
O 0.698 0.805 0.417
O 0.106 0.805 0.917
O 0.116 0.301 0.848
O 0.884 0.699 0.152
O 0.185 0.301 0.348
O 0.815 0.699 0.652
O 0.327 0.688 0.617
O 0.361 0.688 0.117
O 0.302 0.195 0.583
Sb 0.500 0.500 0.500
Sb 0.000 0.500 0.000
Y 0.750 0.000 0.250
Y 0.250 0.000 0.750

The highest raw formation energy belongs to which entry?
LaAuSe3